# 1
# Li2TcNi (GGA-PBEsol, relaxed)
# Formation energy, eV/atom: 0.545
# V, Å³/cell: 47
# Crystal system: tetragonal
# Space-group type: No. 123
data_Li2TcNi
_cell_length_a 2.4275
_cell_length_b 4.4107
_cell_length_c 4.4107
_cell_angle_alpha 90.00
_cell_angle_beta 90.00
_cell_angle_gamma 90.00
_space_group_name_H-M_alt 'P 1'
_space_group_IT_number 1
_space_group_name_Hall 'P 1'
loop_
_atom_site_label
_atom_site_fract_x
_atom_site_fract_y
_atom_site_fract_z
_atom_site_occupancy
Li1 0.0000 0.0000 0.5000 1
Li2 0.0000 0.5000 0.0000 1
Ni1 0.5000 0.5000 0.5000 1
Tc1 0.5000 0.0000 0.0000 1

=====

# 2
# GaPb2S (GGA-PBEsol, relaxed)
# Total energy, eV/cell: -15.51
# V, Å³/cell: 93
# Crystal system: cubic
# Space-group type: No. 225
data_GaPb2S
_cell_length_a 5.0802
_cell_length_b 5.0802
_cell_length_c 5.0802
_cell_angle_alpha 60.00
_cell_angle_beta 60.00
_cell_angle_gamma 60.00
_space_group_name_H-M_alt 'P 1'
_space_group_IT_number 1
_space_group_name_Hall 'P 1'
loop_
_atom_site_label
_atom_site_fract_x
_atom_site_fract_y
_atom_site_fract_z
_atom_site_occupancy
Pb1 0.2500 0.2500 0.2500 1
Pb2 0.7500 0.7500 0.7500 1
S1 0.0000 0.0000 0.0000 1
Ga1 0.5000 0.5000 0.5000 1

=====

# 3
# RbInTe (GGA-PBEsol, relaxed)
# Total energy, eV/cell: -18.90
# V, Å³/cell: 229
# Crystal system: orthorhombic
# Space-group type: No. 63
data_RbInTe
_cell_length_a 4.4241
_cell_length_b 5.4513
_cell_length_c 9.7449
_cell_angle_alpha 90.00
_cell_angle_beta 103.12
_cell_angle_gamma 90.00
_space_group_name_H-M_alt 'P 1'
_space_group_IT_number 1
_space_group_name_Hall 'P 1'
loop_
_atom_site_label
_atom_site_fract_x
_atom_site_fract_y
_atom_site_fract_z
_atom_site_occupancy
Te1 0.8690 0.7500 0.7381 1
Te2 0.1310 0.2500 0.2619 1
Rb1 0.6729 0.7500 0.3459 1
Rb2 0.3271 0.2500 0.6541 1
In1 0.4717 0.7500 0.9433 1
In2 0.5283 0.2500 0.0567 1

=====

# 4
# La3CrS (GGA-PBEsol, relaxed)
# Total energy, eV/cell: -32.10
# V, Å³/cell: 161
# Crystal system: cubic
# Space-group type: No. 221
data_La3CrS
_cell_length_a 5.4367
_cell_length_b 5.4367
_cell_length_c 5.4367
_cell_angle_alpha 90.00
_cell_angle_beta 90.00
_cell_angle_gamma 90.00
_space_group_name_H-M_alt 'P 1'
_space_group_IT_number 1
_space_group_name_Hall 'P 1'
loop_
_atom_site_label
_atom_site_fract_x
_atom_site_fract_y
_atom_site_fract_z
_atom_site_occupancy
Cr1 0.5000 0.5000 0.5000 1
S1 0.0000 0.0000 0.0000 1
La1 0.0000 0.5000 0.0000 1
La2 0.0000 0.0000 0.5000 1
La3 0.5000 0.0000 0.0000 1

=====

# 5
# TlSb2Cl (GGA-PBEsol, relaxed)
# V, Å³/cell: 97
# E above lowest polymorph, meV per atom: 38
# Crystal system: cubic
# Space-group type: No. 225
data_TlSb2Cl
_cell_length_a 5.1661
_cell_length_b 5.1661
_cell_length_c 5.1661
_cell_angle_alpha 60.00
_cell_angle_beta 60.00
_cell_angle_gamma 60.00
_space_group_name_H-M_alt 'P 1'
_space_group_IT_number 1
_space_group_name_Hall 'P 1'
loop_
_atom_site_label
_atom_site_fract_x
_atom_site_fract_y
_atom_site_fract_z
_atom_site_occupancy
Sb1 0.2500 0.2500 0.2500 1
Sb2 0.7500 0.7500 0.7500 1
Tl1 0.5000 0.5000 0.5000 1
Cl1 0.0000 0.0000 0.0000 1

=====

# 6
# KGePPb2 (GGA-PBEsol, relaxed)
# Formation energy, eV/atom: 0.524
# V, Å³/cell: 158
# Crystal system: tetragonal
# Space-group type: No. 123
data_KGePPb2
_cell_length_a 5.2710
_cell_length_b 5.2710
_cell_length_c 5.6815
_cell_angle_alpha 90.00
_cell_angle_beta 90.00
_cell_angle_gamma 90.00
_space_group_name_H-M_alt 'P 1'
_space_group_IT_number 1
_space_group_name_Hall 'P 1'
loop_
_atom_site_label
_atom_site_fract_x
_atom_site_fract_y
_atom_site_fract_z
_atom_site_occupancy
Pb1 0.0000 0.5000 0.0000 1
Pb2 0.5000 0.0000 0.0000 1
P1 0.0000 0.0000 0.0000 1
Ge1 0.5000 0.5000 0.5000 1
K1 0.0000 0.0000 0.5000 1

=====

# 7
# ScBi3Mo2O12 (GGA-PBEsol, relaxed)
# Total energy, eV/cell: -283.01
# V, Å³/cell: 495
# Crystal system: monoclinic
# Space-group type: No. 15
data_ScBi3Mo2O12
_cell_length_a 5.2939
_cell_length_b 10.2094
_cell_length_c 10.2094
_cell_angle_alpha 68.36
_cell_angle_beta 77.48
_cell_angle_gamma 77.48
_space_group_name_H-M_alt 'P 1'
_space_group_IT_number 1
_space_group_name_Hall 'P 1'
loop_
_atom_site_label
_atom_site_fract_x
_atom_site_fract_y
_atom_site_fract_z
_atom_site_occupancy
Sc1 0.2500 0.0916 0.9084 1
Sc2 0.7500 0.9084 0.0916 1
Bi1 0.0629 0.0367 0.2749 1
Bi2 0.9371 0.9633 0.7251 1
Bi3 0.4371 0.7251 0.9633 1
Bi4 0.5629 0.2749 0.0367 1
Bi5 0.2500 0.6555 0.3445 1
Bi6 0.7500 0.3445 0.6555 1
Mo1 0.4224 0.2064 0.4583 1
Mo2 0.5776 0.7936 0.5417 1
Mo3 0.0776 0.5417 0.7936 1
Mo4 0.9224 0.4583 0.2064 1
O1 0.2079 0.3657 0.4468 1
O2 0.7921 0.6343 0.5532 1
O3 0.2921 0.5532 0.6343 1
O4 0.7079 0.4468 0.3657 1
O5 0.4160 0.0590 0.1061 1
O6 0.5840 0.9410 0.8939 1
O7 0.0840 0.8939 0.9410 1
O8 0.9160 0.1061 0.0590 1
O9 0.3807 0.8306 0.4034 1
O10 0.6193 0.1694 0.5966 1
O11 0.1193 0.5965 0.1694 1
O12 0.8807 0.4034 0.8306 1
O13 0.3664 0.7893 0.7040 1
O14 0.6336 0.2107 0.2960 1
O15 0.1336 0.2960 0.2107 1
O16 0.8664 0.7040 0.7893 1
O17 0.9625 0.8412 0.2597 1
O18 0.0375 0.1588 0.7403 1
O19 0.5375 0.7403 0.1588 1
O20 0.4625 0.2597 0.8412 1
O21 0.2340 0.0711 0.4941 1
O22 0.7660 0.9289 0.5059 1
O23 0.2660 0.5059 0.9289 1
O24 0.7340 0.4941 0.0711 1

=====

# 8
# RbMg3Pt (GGA-PBEsol, relaxed)
# Formation energy, eV/atom: -0.267
# V, Å³/cell: 138
# Crystal system: cubic
# Space-group type: No. 221
data_RbMg3Pt
_cell_length_a 5.1701
_cell_length_b 5.1701
_cell_length_c 5.1701
_cell_angle_alpha 90.00
_cell_angle_beta 90.00
_cell_angle_gamma 90.00
_space_group_name_H-M_alt 'P 1'
_space_group_IT_number 1
_space_group_name_Hall 'P 1'
loop_
_atom_site_label
_atom_site_fract_x
_atom_site_fract_y
_atom_site_fract_z
_atom_site_occupancy
Mg1 0.0000 0.5000 0.0000 1
Mg2 0.0000 0.0000 0.5000 1
Mg3 0.5000 0.0000 0.0000 1
Rb1 0.5000 0.5000 0.5000 1
Pt1 0.0000 0.0000 0.0000 1

=====

# 9
# MnTl2PtPb (GGA-PBEsol, relaxed)
# Formation energy, eV/atom: 1.156
# V, Å³/cell: 165
# Crystal system: tetragonal
# Space-group type: No. 123
data_MnTl2PtPb
_cell_length_a 5.0430
_cell_length_b 5.7241
_cell_length_c 5.7241
_cell_angle_alpha 90.00
_cell_angle_beta 90.00
_cell_angle_gamma 90.00
_space_group_name_H-M_alt 'P 1'
_space_group_IT_number 1
_space_group_name_Hall 'P 1'
loop_
_atom_site_label
_atom_site_fract_x
_atom_site_fract_y
_atom_site_fract_z
_atom_site_occupancy
Pb1 0.0000 0.0000 0.0000 1
Tl1 0.0000 0.0000 0.5000 1
Tl2 0.0000 0.5000 0.0000 1
Mn1 0.5000 0.5000 0.5000 1
Pt1 0.5000 0.0000 0.0000 1

=====

# 10
# SrMg3Pd (GGA-PBEsol, relaxed)
# Formation energy, eV/atom: -0.274
# V, Å³/cell: 131
# Crystal system: cubic
# Space-group type: No. 221
data_SrMg3Pd
_cell_length_a 5.0852
_cell_length_b 5.0852
_cell_length_c 5.0852
_cell_angle_alpha 90.00
_cell_angle_beta 90.00
_cell_angle_gamma 90.00
_space_group_name_H-M_alt 'P 1'
_space_group_IT_number 1
_space_group_name_Hall 'P 1'
loop_
_atom_site_label
_atom_site_fract_x
_atom_site_fract_y
_atom_site_fract_z
_atom_site_occupancy
Sr1 0.5000 0.5000 0.5000 1
Mg1 0.0000 0.5000 0.0000 1
Mg2 0.0000 0.0000 0.5000 1
Mg3 0.5000 0.0000 0.0000 1
Pd1 0.0000 0.0000 0.0000 1

=====

# 11
# MnCd2In (GGA-PBEsol, relaxed)
# Formation energy, eV/atom: 0.242
# V, Å³/cell: 76
# Crystal system: orthorhombic
# Space-group type: No. 25
data_MnCd2In
_cell_length_a 3.0446
_cell_length_b 4.1158
_cell_length_c 6.0864
_cell_angle_alpha 90.00
_cell_angle_beta 90.00
_cell_angle_gamma 90.00
_space_group_name_H-M_alt 'P 1'
_space_group_IT_number 1
_space_group_name_Hall 'P 1'
loop_
_atom_site_label
_atom_site_fract_x
_atom_site_fract_y
_atom_site_fract_z
_atom_site_occupancy
Cd1 0.0002 0.0000 0.9908 1
Cd2 0.5005 0.5000 0.2393 1
In1 0.9996 0.0000 0.5239 1
Mn1 0.4996 0.5000 0.7460 1

=====

# 12
# FeSiGe3 (GGA-PBEsol, relaxed)
# Total energy, eV/cell: -27.38
# V, Å³/cell: 89
# Crystal system: cubic
# Space-group type: No. 221
data_FeSiGe3
_cell_length_a 4.4714
_cell_length_b 4.4714
_cell_length_c 4.4714
_cell_angle_alpha 90.00
_cell_angle_beta 90.00
_cell_angle_gamma 90.00
_space_group_name_H-M_alt 'P 1'
_space_group_IT_number 1
_space_group_name_Hall 'P 1'
loop_
_atom_site_label
_atom_site_fract_x
_atom_site_fract_y
_atom_site_fract_z
_atom_site_occupancy
Ge1 0.0000 0.5000 0.0000 1
Ge2 0.0000 0.0000 0.5000 1
Ge3 0.5000 0.0000 0.0000 1
Si1 0.5000 0.5000 0.5000 1
Fe1 0.0000 0.0000 0.0000 1

=====

Q: V of number 8 (RbMg3Pt)?
A: 138 Å³/cell